A plane-wave DFT calculation with GGA-PBE was carried out for a relaxed structure of ScTcRh.

- calculated formation energy (eV per formula unit) = -0.27
- VASP energy (Ry/atom) = -0.596
- ΔE to the lowest computed polymorph (eV/atom) = 0.160
- SG = No. 156
- DOS(E_F) (states/eV per cell) = 5.3

Unit cell a=4.4408 b=4.4408 c=2.8181 alpha=90.00 beta=90.00 gamma=120.00
Element x y z (fractional)
Rh: 0.0000 0.0000 0.9985
Sc: 0.6667 0.3333 0.3389
Tc: 0.3333 0.6667 0.6627